Record 1
An optimized crystal structure of CaTl2FeCl6. Source: Alexandria, functional PBE-GGA.

Formation energy (no corrections) in eV per atom: -1.315
DOS(E_F) in states/eV per cell: 13.5
Total magnetization in μB/f.u.: 4.00
Calculated volume in Å³/atom: 27.22

Lattice parameters (Å, degrees): 7.218 7.321 12.563 90.00 124.91 90.00
Fractional coordinates of all 20 atoms:
Ca 0.000 0.000 0.000
Ca 0.000 0.500 0.500
Tl 0.261 0.047 0.751
Tl 0.261 0.453 0.251
Tl 0.739 0.547 0.749
Tl 0.739 0.953 0.249
Fe 0.500 0.000 0.500
Fe 0.500 0.500 0.000
Cl 0.199 0.008 0.262
Cl 0.199 0.492 0.762
Cl 0.255 0.700 0.032
Cl 0.255 0.800 0.532
Cl 0.334 0.224 0.033
Cl 0.334 0.276 0.533
Cl 0.666 0.724 0.467
Cl 0.666 0.776 0.967
Cl 0.745 0.200 0.468
Cl 0.745 0.300 0.968
Cl 0.801 0.508 0.238
Cl 0.801 0.992 0.738

Record 2
An optimized crystal structure of CaTlFeCl5. Source: Alexandria, functional PBE-GGA.

Formation energy (no corrections) in eV per atom: -1.410
DOS(E_F) in states/eV per cell: 13.6
Total magnetization in μB/f.u.: 4.00
Calculated volume in Å³/atom: 30.94

Lattice parameters (Å, degrees): 7.546 7.546 9.897 104.01 104.01 106.25
Fractional coordinates of all 16 atoms:
Ca 0.000 0.000 0.000
Ca 0.000 0.000 0.500
Tl 0.339 0.661 0.750
Tl 0.661 0.339 0.250
Fe 0.317 0.683 0.250
Fe 0.683 0.317 0.750
Cl 0.083 0.917 0.750
Cl 0.097 0.679 0.378
Cl 0.251 0.388 0.073
Cl 0.321 0.903 0.122
Cl 0.388 0.251 0.573
Cl 0.612 0.749 0.427
Cl 0.679 0.097 0.878
Cl 0.749 0.612 0.927
Cl 0.903 0.321 0.622
Cl 0.917 0.083 0.250

Record 3
An optimized crystal structure of CaGa3Cl12. Source: Alexandria, functional PBE-GGA.

Formation energy (no corrections) in eV per atom: -1.227
DOS(E_F) in states/eV per cell: 17.9
Total magnetization in μB/f.u.: 1.18
Calculated volume in Å³/atom: 36.18

Lattice parameters (Å, degrees): 12.397 12.397 12.397 53.98 53.98 53.98
Fractional coordinates of all 32 atoms:
Ca 0.000 0.000 0.000
Ca 0.500 0.500 0.500
Ga 0.150 0.356 0.823
Ga 0.323 0.856 0.650
Ga 0.356 0.823 0.150
Ga 0.650 0.323 0.856
Ga 0.823 0.150 0.356
Ga 0.856 0.650 0.323
Cl 0.093 0.992 0.734
Cl 0.159 0.177 0.812
Cl 0.177 0.812 0.159
Cl 0.234 0.492 0.593
Cl 0.267 0.925 0.296
Cl 0.296 0.267 0.925
Cl 0.312 0.677 0.659
Cl 0.425 0.767 0.796
Cl 0.427 0.985 0.433
Cl 0.433 0.427 0.985
Cl 0.485 0.927 0.933
Cl 0.492 0.593 0.234
Cl 0.593 0.234 0.492
Cl 0.659 0.312 0.677
Cl 0.677 0.659 0.312
Cl 0.734 0.093 0.992
Cl 0.767 0.796 0.425
Cl 0.796 0.425 0.767
Cl 0.812 0.159 0.177
Cl 0.925 0.296 0.267
Cl 0.927 0.933 0.485
Cl 0.933 0.485 0.927
Cl 0.985 0.433 0.427
Cl 0.992 0.734 0.093

Record 4
An optimized crystal structure of CaGa2Cl8. Source: Alexandria, functional PBE-GGA.

Formation energy (no corrections) in eV per atom: -1.482
DOS(E_F) in states/eV per cell: 0.0
Total magnetization in μB/f.u.: 0.25
Calculated volume in Å³/atom: 35.35

Lattice parameters (Å, degrees): 10.119 10.119 12.037 123.76 123.76 53.76
Fractional coordinates of all 22 atoms:
Ca 0.000 0.000 0.250
Ca 0.000 0.000 0.750
Ga 0.157 0.661 0.959
Ga 0.339 0.843 0.541
Ga 0.661 0.157 0.459
Ga 0.843 0.339 0.041
Cl 0.104 0.220 0.025
Cl 0.121 0.681 0.767
Cl 0.153 0.729 0.347
Cl 0.220 0.104 0.525
Cl 0.271 0.847 0.153
Cl 0.307 0.396 0.952
Cl 0.319 0.879 0.733
Cl 0.396 0.307 0.452
Cl 0.604 0.693 0.548
Cl 0.681 0.121 0.267
Cl 0.693 0.604 0.048
Cl 0.729 0.153 0.847
Cl 0.780 0.896 0.475
Cl 0.847 0.271 0.653
Cl 0.879 0.319 0.233
Cl 0.896 0.780 0.975

Record 5
An optimized crystal structure of Ca2Ga2Cl. Source: Alexandria, functional PBE-GGA.

Formation energy (no corrections) in eV per atom: -0.747
DOS(E_F) in states/eV per cell: 6.4
Total magnetization in μB/f.u.: 0.00
Calculated volume in Å³/atom: 27.48

Lattice parameters (Å, degrees): 7.601 7.601 4.756 90.00 90.00 90.00
Fractional coordinates of all 10 atoms:
Ca 0.177 0.323 0.000
Ca 0.323 0.823 0.000
Ca 0.677 0.177 0.000
Ca 0.823 0.677 0.000
Ga 0.115 0.615 0.500
Ga 0.385 0.115 0.500
Ga 0.615 0.885 0.500
Ga 0.885 0.385 0.500
Cl 0.000 0.000 0.000
Cl 0.500 0.500 0.000

Record 6
An optimized crystal structure of CaGaCl. Source: Alexandria, functional PBE-GGA.

Formation energy (no corrections) in eV per atom: -1.381
DOS(E_F) in states/eV per cell: 1.1
Total magnetization in μB/f.u.: 0.00
Calculated volume in Å³/atom: 27.30

Lattice parameters (Å, degrees): 10.921 10.921 10.921 22.25 22.25 22.25
Fractional coordinates of all 6 atoms:
Ca 0.072 0.072 0.072
Ca 0.928 0.928 0.928
Ga 0.337 0.337 0.337
Ga 0.663 0.663 0.663
Cl 0.218 0.218 0.218
Cl 0.782 0.782 0.782

Record 7
An optimized crystal structure of Ca2GaCl. Source: Alexandria, functional PBE-GGA.

Formation energy (no corrections) in eV per atom: -1.038
DOS(E_F) in states/eV per cell: 0.5
Total magnetization in μB/f.u.: 0.00
Calculated volume in Å³/atom: 27.05

Lattice parameters (Å, degrees): 8.199 8.199 8.199 28.12 28.12 28.12
Fractional coordinates of all 4 atoms:
Ca 0.249 0.249 0.249
Ca 0.751 0.751 0.751
Ga 0.500 0.500 0.500
Cl 0.000 0.000 0.000

Record 8
An optimized crystal structure of Ca2GaCl. Source: Alexandria, functional PBE-GGA.

Formation energy (no corrections) in eV per atom: -0.813
DOS(E_F) in states/eV per cell: 0.7
Total magnetization in μB/f.u.: 0.00
Calculated volume in Å³/atom: 30.26

Lattice parameters (Å, degrees): 6.812 6.812 6.812 111.97 111.97 104.58
Fractional coordinates of all 8 atoms:
Ca 0.105 0.625 0.980
Ca 0.375 0.355 0.480
Ca 0.645 0.125 0.020
Ca 0.875 0.895 0.520
Ga 0.250 0.750 0.500
Ga 0.500 0.500 0.000
Cl 0.000 0.000 0.000
Cl 0.750 0.250 0.500